Compound: ScMo3O9
Source: Alexandria via LeMat-Bulk
Functional: PBE with a Hubbard U
Structure: relaxed Values from VASP.

E_tot in eV for the cell shown: -192.7

Structure (Quantum ESPRESSO input):
```
&SYSTEM
  ibrav = 0, nat = 26, ntyp = 3
/
ATOMIC_SPECIES
Sc 44.96 Sc.upf
Mo 95.94 Mo.upf
O 16.00 O.upf
CELL_PARAMETERS angstrom
7.607 -3.769 0.000
7.607 3.769 0.000
-6.482 0.000 8.872
ATOMIC_POSITIONS angstrom
Sc 4.366 1.956 4.436
Sc 7.607 -1.956 0.000
Mo -3.324 0.715 7.270
Mo -0.084 -0.715 2.834
Mo 1.251 0.590 6.011
Mo 4.491 -0.590 1.575
Mo 9.779 0.234 2.103
Mo 6.539 -0.234 6.539
O 0.098 2.121 5.946
O 0.463 0.363 1.507
O 5.765 2.958 3.195
O -2.778 -0.363 5.944
O 4.168 0.503 0.043
O 2.938 1.207 5.780
O 0.927 -0.503 4.480
O 4.058 0.452 2.990
O 0.817 -0.452 7.426
O 8.257 1.297 2.548
O 5.959 0.801 5.179
O 3.339 -2.121 1.510
O 6.179 -1.207 1.343
O 9.200 -0.801 0.743
O 7.270 0.569 7.978
O 5.016 -1.297 6.985
O 2.524 -2.958 7.631
O 10.511 -0.569 3.542
```